Here is crystalline ZrCd2Br at its relaxed geometry from Alexandria. Energies are from PBE.

Cell: 6.795 6.795 4.733 Å, 77.08 77.08 26.99°
Element x y z (fractional)
Br 0.250 0.250 0.250
Zr 0.750 0.750 0.750
Cd 0.037 0.037 0.972
Cd 0.463 0.463 0.528

## Properties
formation energy without anion corrections = -87 meV/atom
M_tot = 0.00 μB/atom
space-group type = No. 12
E above lowest polymorph = 246 meV/atom